A plane-wave DFT calculation with PBE was carried out for a relaxed structure of Ca3YHg.

```
Ca3YHg
1.0
5.833 0.000 0.000
0.000 5.833 0.000
0.000 0.000 5.833
Ca Y Hg
3 1 1
Cartesian
0.000 0.000 2.916 Ca
0.000 2.916 0.000 Ca
2.916 0.000 0.000 Ca
2.916 2.916 2.916 Y
0.000 0.000 0.000 Hg
```

* energy of formation: 94 meV/atom
* mass density: 3.4 g/cm3
* density of states at the Fermi level: 9.1 states/eV per cell